(1)
## La2Cl (GGA-PBE)

Data for a relaxed La2Cl crystal.

Summary:
- energy above the lowest structure with this stoichiometry (meV per atom) = 931

a b c (Å): 6.562 6.562 6.562
angles (deg): 60.00 60.00 60.00
Each line ends with the local moment (μB).
Atoms (fractional coordinates):
La: 0.625 0.125 0.125  -0.26
La: 0.125 0.625 0.125  -0.26
La: 0.125 0.125 0.625  -0.26
La: 0.125 0.125 0.125  -0.26
Cl: 0.500 0.500 0.500  -0.01
Cl: 0.750 0.750 0.750  -0.01

---

(2)
## TbPm2Be (GGA-PBE)

Data for a relaxed TbPm2Be crystal.

Summary:
- DFT formation energy (kJ/mol of formula units) = 42
- energy above the lowest structure with this stoichiometry (meV per atom) = 0

a b c (Å): 3.563 3.563 8.625
angles (deg): 90.00 90.00 90.00
Atoms (fractional coordinates):
Be: 0.500 0.500 0.000
Tb: 0.500 0.500 0.500
Pm: 0.000 0.000 0.804
Pm: 0.000 0.000 0.196

---

(3)
## HgPC (GGA-PBE)

Data for a relaxed HgPC crystal.

Summary:
- DFT formation energy (kJ/mol of formula units) = 142
- energy above the lowest structure with this stoichiometry (meV per atom) = 0

a b c (Å): 6.384 2.960 5.111
angles (deg): 90.00 105.76 90.00
Atoms (fractional coordinates):
P: 0.428 0.000 0.342
P: 0.428 0.500 0.842
C: 0.321 0.000 0.639
C: 0.321 0.500 0.139
Hg: 0.896 0.000 0.496
Hg: 0.896 0.500 0.996

---

(4)
## BaLiZnF6 (GGA-PBE)

Data for a relaxed BaLiZnF6 crystal.

Summary:
- E (eV/atom) = -4.537

a b c (Å): 5.338 5.338 5.597
angles (deg): 90.00 90.00 59.99
Each line ends with the local moment (μB).
Atoms (fractional coordinates):
Ba: 0.000 0.000 0.000  0.01
Li: 0.667 0.667 0.500  0.00
Zn: 0.333 0.333 0.500  0.21
F: 0.009 0.381 0.295  0.12
F: 0.381 0.009 0.705  0.12
F: 0.610 0.381 0.705  0.12
F: 0.009 0.610 0.705  0.12
F: 0.381 0.610 0.295  0.12
F: 0.610 0.009 0.295  0.12

---

(5)
## HgPtRhAu2 (GGA-PBE)

Data for a relaxed HgPtRhAu2 crystal.

Summary:
- DFT formation energy (kJ/mol of formula units) = 525

a b c (Å): 5.073 5.082 5.073
angles (deg): 90.00 90.00 90.00
Each line ends with the local moment (μB).
Atoms (fractional coordinates):
Rh: 0.500 0.500 0.500  1.34
Au: 0.000 0.000 0.500  0.04
Au: 0.500 0.000 0.000  0.02
Hg: 0.000 0.500 0.000  0.00
Pt: 0.000 0.000 0.000  0.00

---

(6)
## PuHfZr2P4 (GGA-PBE)

Data for a relaxed PuHfZr2P4 crystal.

Summary:
- DFT formation energy (kJ/mol of formula units) = -1018

a b c (Å): 3.779 6.546 6.555
angles (deg): 109.12 90.00 90.00
Each line ends with the local moment (μB).
Atoms (fractional coordinates):
Pu: 0.000 0.000 0.000  4.92
Hf: 0.500 0.500 0.000  0.04
Zr: 0.500 0.000 0.500  0.06
Zr: 0.000 0.500 0.500  -0.01
P: 0.500 0.258 0.255  -0.05
P: 0.500 0.742 0.745  -0.05
P: 0.000 0.256 0.750  -0.02
P: 0.000 0.744 0.250  -0.02

---

(7)
## LiY2Tm (GGA-PBE)

Data for a relaxed LiY2Tm crystal.

Summary:
- DFT formation energy (kJ/mol of formula units) = 25
- energy above the lowest structure with this stoichiometry (meV per atom) = 0

a b c (Å): 3.603 3.603 8.790
angles (deg): 90.00 90.00 90.00
Atoms (fractional coordinates):
Y: 0.000 0.000 0.775
Y: 0.000 0.000 0.225
Tm: 0.500 0.500 0.500
Li: 0.500 0.500 0.000

---

(8)
## PuPRh3 (GGA-PBE)

Data for a relaxed PuPRh3 crystal.

Summary:
- DFT formation energy (kJ/mol of formula units) = -358

a b c (Å): 3.985 3.985 5.985
angles (deg): 70.56 70.56 90.00
Each line ends with the local moment (μB).
Atoms (fractional coordinates):
Pu: 0.387 0.190 0.932  4.96
P: 0.028 0.832 0.649  -0.01
Rh: 0.638 0.942 0.429  -0.14
Rh: 0.138 0.442 0.429  -0.14
Rh: 0.816 0.620 0.073  -0.31

---

(9)
## Tl5In3Ag12 (GGA-PBE)

Data for a relaxed Tl5In3Ag12 crystal.

Summary:
- DFT formation energy (kJ/mol of formula units) = 589

a b c (Å): 14.325 14.325 14.325
angles (deg): 109.47 109.47 109.47
Atoms (fractional coordinates):
In: 0.750 0.375 0.125
In: 0.875 0.750 0.125
In: 0.375 0.750 0.625
In: 0.250 0.125 0.375
In: 0.875 0.125 0.250
In: 0.375 0.625 0.250
In: 0.625 0.375 0.750
In: 0.125 0.875 0.750
In: 0.750 0.875 0.625
In: 0.625 0.250 0.375
In: 0.125 0.250 0.875
In: 0.250 0.625 0.875
Tl: 0.125 0.375 0.250
Tl: 0.000 0.500 0.000
Tl: 0.000 0.000 0.000
Tl: 0.375 0.250 0.125
Tl: 0.500 0.000 0.500
Tl: 0.500 0.500 0.000
Tl: 0.125 0.750 0.375
Tl: 0.750 0.125 0.875
Tl: 0.750 0.625 0.375
Tl: 0.375 0.125 0.750
Tl: 0.625 0.875 0.250
Tl: 0.500 0.500 0.500
Tl: 0.500 0.000 0.000
Tl: 0.000 0.000 0.500
Tl: 0.250 0.375 0.625
Tl: 0.250 0.875 0.125
Tl: 0.000 0.500 0.500
Tl: 0.875 0.250 0.625
Tl: 0.625 0.750 0.875
Tl: 0.875 0.625 0.750
Ag: 0.730 0.151 0.077
Ag: 0.347 0.577 0.426
Ag: 0.923 0.349 0.270
Ag: 0.577 0.230 0.151
Ag: 0.579 0.730 0.653
Ag: 0.923 0.574 0.153
Ag: 0.347 0.770 0.421
Ag: 0.074 0.921 0.151
Ag: 0.574 0.923 0.653
Ag: 0.730 0.579 0.153
Ag: 0.770 0.423 0.349
Ag: 0.847 0.926 0.077
Ag: 0.151 0.730 0.577
Ag: 0.349 0.426 0.079
Ag: 0.079 0.926 0.349
Ag: 0.421 0.151 0.574
Ag: 0.079 0.153 0.230
Ag: 0.423 0.653 0.074
Ag: 0.847 0.921 0.270
Ag: 0.151 0.421 0.074
Ag: 0.349 0.923 0.770
Ag: 0.574 0.651 0.421
Ag: 0.926 0.847 0.577
Ag: 0.770 0.347 0.921
Ag: 0.426 0.349 0.579
Ag: 0.074 0.153 0.423
Ag: 0.230 0.653 0.079
Ag: 0.153 0.079 0.730
Ag: 0.651 0.077 0.230
Ag: 0.849 0.579 0.926
Ag: 0.577 0.347 0.926
Ag: 0.579 0.849 0.426
Ag: 0.921 0.847 0.770
Ag: 0.921 0.074 0.651
Ag: 0.849 0.270 0.423
Ag: 0.153 0.074 0.923
Ag: 0.651 0.574 0.921
Ag: 0.426 0.077 0.347
Ag: 0.270 0.421 0.847
Ag: 0.230 0.577 0.651
Ag: 0.926 0.079 0.849
Ag: 0.653 0.230 0.579
Ag: 0.423 0.770 0.849
Ag: 0.077 0.426 0.847
Ag: 0.421 0.270 0.347
Ag: 0.077 0.651 0.730
Ag: 0.653 0.423 0.574
Ag: 0.270 0.849 0.923

---

(10)
## Cu2TeSe (GGA-PBE)

Data for a relaxed Cu2TeSe crystal.

Summary:
- energy above the lowest structure with this stoichiometry (meV per atom) = 418

a b c (Å): 3.405 3.406 6.410
angles (deg): 90.00 90.00 90.00
Atoms (fractional coordinates):
Cu: 0.000 0.000 0.050
Cu: 0.000 0.000 0.450
Se: 0.500 0.500 0.250
Te: 0.500 0.500 0.750

---

(11)
## YMn2Cu (GGA-PBE)

Data for a relaxed YMn2Cu crystal.

Summary:
- DFT formation energy (kJ/mol of formula units) = 123
- energy above the lowest structure with this stoichiometry (meV per atom) = 281

a b c (Å): 4.337 3.194 5.359
angles (deg): 76.34 90.00 90.00
Each line ends with the local moment (μB).
Atoms (fractional coordinates):
Cu: 0.500 0.750 0.750  0.11
Mn: 0.000 0.907 0.966  3.49
Mn: 0.000 0.593 0.534  3.49
Y: 0.500 0.250 0.250  -0.25

---

Calculated volume in order - 199.8 109.5 93.0 138.1 130.8 153.2 114.1 83.8 2263.0 74.3 72.1 Å³/cell
Calculated total moment in order - 2.0 0.0 0.0 1.0 1.5 5.1 0.0 4.6 0.0 0.0 6.9 μB/cell